# HoZrB4 | OQMD | PBE-GGA | optimized geometry
# Space-group type ... P6/mmm (191)
# Crystal system ... hexagonal
# Total energy ... -7.44 eV per atom
data_HoZrB4
_chemical_formula_sum 'Ho1 Zr1 B4'
_cell_length_a 3.217
_cell_length_b 3.217
_cell_length_c 7.401
_cell_angle_alpha 90.00
_cell_angle_beta 90.00
_cell_angle_gamma 120.00
_space_group_name_H-M_alt 'P 1'
_space_group_IT_number 1
loop_
_space_group_symop_operation_xyz
'x,y,z'
loop_
_atom_site_label
_atom_site_fract_x
_atom_site_fract_y
_atom_site_fract_z
B1 0.667 0.333 0.738
B2 0.333 0.667 0.738
Ho1 0.000 0.000 0.000
B3 0.333 0.667 0.262
Zr1 0.000 0.000 0.500
B4 0.667 0.333 0.262